DFT (PBE-GGA) results for crystalline PuThHg6 at its relaxed geometry.

Lattice parameters (Å, degrees): 5.0941 6.7885 6.7885 119.98 90.00 90.00
Closest atoms and distances in Å follow each position.
Fractional coordinates of all 8 atoms:
1 Pu 0.5000 0.4156 0.5844  12 Hg 3.23-3.40
2 Th 0.0000 0.0842 0.9158  12 Hg 3.23-3.40
3 Hg 0.0000 0.0768 0.4126  8 Hg 3.19-3.47, 2 Pu 3.23, 2 Th 3.39-3.40
4 Hg 0.0000 0.5874 0.9232  8 Hg 3.19-3.47, 2 Pu 3.23, 2 Th 3.39-3.40
5 Hg 0.0000 0.5849 0.4151  8 Hg 3.19-3.44, 2 Pu 3.23, 2 Th 3.40
6 Hg 0.5000 0.4237 0.0878  8 Hg 3.19-3.47, 2 Th 3.24, 2 Pu 3.39-3.40
7 Hg 0.5000 0.9122 0.5763  8 Hg 3.19-3.47, 2 Th 3.24, 2 Pu 3.39-3.40
8 Hg 0.5000 0.9147 0.0853  8 Hg 3.19-3.45, 2 Th 3.23, 2 Pu 3.40

Summary:
- ΔH_f (0 K): -1.9 eV per formula unit
- Calculated total energy: -3.179 eV/atom
- Density: 13.72 g/cm³
- Magnetic moment: 5.9 μB per formula unit